Compound: InNiSe2N
Source: Alexandria
Functional: meta-GGA SCAN
Structure: PBEsol geometry

Calculated values
As for the density of states at the Fermi level: 2.803 states/eV per cell. The total energy is -0.684 hartree per atom.

The structure in POSCAR format:
```
InNiSe2N
1.0
-1.393 3.761 0.101
-2.815 -1.157 4.272
4.034 1.413 3.040
Ni N Se In
1 1 2 1
direct
0.500 0.500 0.500
0.500 0.000 0.000
0.000 0.000 0.500
0.000 0.500 0.000
0.000 0.000 0.000
```